Crystalline Sm2Ge4IrRh3 at its relaxed geometry, computed with GGA-PBE.

It has space group P-4m2 (No. 115), with a = 4.253 Å, b = 4.253 Å, c = 10.094 Å, α = 90.00°, β = 90.00° and γ = 90.00°. The distinct sites, in fractional coordinates, are Sm at (0.000, 0.500, 0.244), Ge at (0.000, 0.000, 0.000), Ge at (0.000, 0.500, 0.632), Ge at (0.500, 0.500, 0.000), Ir at (0.000, 0.000, 0.500), Rh at (0.000, 0.500, 0.873) and Rh at (0.500, 0.500, 0.500).

The value obtained for the density of states at the Fermi level is 5.16 states/eV per cell. The magnetic moment comes out at 0.00 Bohr magnetons per cell. The crystal system is tetragonal. The formation energy comes out at -0.848 eV per atom.



Crystalline CsAc2Pb3Se6 at its relaxed geometry, computed with GGA-PBE.

It has space group C2/m (No. 12), with a = 19.574 Å, b = 4.730 Å, c = 9.201 Å, α = 90.00°, β = 98.49° and γ = 90.00°. The distinct sites, in fractional coordinates, are Cs at (0.000, 0.000, 0.000), Ac at (0.168, 0.500, 0.337), Pb at (0.000, 0.000, 0.500), Pb at (0.165, 0.500, 0.790), Se at (0.014, 0.500, 0.289), Se at (0.166, 0.000, 0.586) and Se at (0.186, 0.000, 0.129).

The value obtained for the density of states at the Fermi level is 4.84 states/eV per cell. The magnetic moment comes out at 0.00 Bohr magnetons per cell. The crystal system is monoclinic. The calculation puts the uncorrected formation energy at -1.125 eV/atom.